[1]
This record from the Alexandria database describes a relaxed Rb2SrTeMo crystal. The functional is PBE.

Geometry as CIF:
```
data_Rb2SrTeMo
_space_group_name_H-M_alt 'P 4/m m m'
_space_group_IT_number 123
_space_group_name_Hall '-P 4 2'
_cell_length_a 6.875
_cell_length_b 6.875
_cell_length_c 5.368
_cell_angle_alpha 90.00
_cell_angle_beta 90.00
_cell_angle_gamma 90.00
loop_
_atom_site_label
_atom_site_type_symbol
_atom_site_fract_x
_atom_site_fract_y
_atom_site_fract_z
Rb1 Rb 0.000 0.500 0.000
Sr1 Sr 0.000 0.000 0.000
Te1 Te 0.500 0.500 0.500
Mo1 Mo 0.000 0.000 0.500
```

Output
formation energy from raw total energies = 111.2 kJ per mole of atoms

=====

[2]
This record from the Alexandria database describes a relaxed RbSrTl2Mo crystal. The functional is PBE.

Geometry as CIF:
```
data_RbSrTl2Mo
_space_group_name_H-M_alt 'P 4/m m m'
_space_group_IT_number 123
_space_group_name_Hall '-P 4 2'
_cell_length_a 6.116
_cell_length_b 6.116
_cell_length_c 5.914
_cell_angle_alpha 90.00
_cell_angle_beta 90.00
_cell_angle_gamma 90.00
loop_
_atom_site_label
_atom_site_type_symbol
_atom_site_fract_x
_atom_site_fract_y
_atom_site_fract_z
Rb1 Rb 0.000 0.000 0.000
Sr1 Sr 0.500 0.500 0.500
Tl1 Tl 0.000 0.500 0.000
Mo1 Mo 0.000 0.000 0.500
```

Output
calculated formation energy = 1332.9 meV/atom

=====

[3]
This record from the Alexandria database describes a relaxed RbSrTlMo2 crystal. The functional is PBE.

Geometry as CIF:
```
data_RbSrTlMo2
_space_group_name_H-M_alt 'P 4/m m m'
_space_group_IT_number 123
_space_group_name_Hall '-P 4 2'
_cell_length_a 5.487
_cell_length_b 5.487
_cell_length_c 6.137
_cell_angle_alpha 90.00
_cell_angle_beta 90.00
_cell_angle_gamma 90.00
loop_
_atom_site_label
_atom_site_type_symbol
_atom_site_fract_x
_atom_site_fract_y
_atom_site_fract_z
Rb1 Rb 0.000 0.000 0.000
Sr1 Sr 0.000 0.000 0.500
Tl1 Tl 0.500 0.500 0.000
Mo1 Mo 0.000 0.500 0.500
```

Output
calculated formation energy = 2267.8 meV/atom

=====

[4]
This record from the Alexandria database describes a relaxed RbSrMoW2 crystal. The functional is PBE.

Geometry as CIF:
```
data_RbSrMoW2
_space_group_name_H-M_alt 'P 4/m m m'
_space_group_IT_number 123
_space_group_name_Hall '-P 4 2'
_cell_length_a 4.994
_cell_length_b 4.994
_cell_length_c 5.225
_cell_angle_alpha 90.00
_cell_angle_beta 90.00
_cell_angle_gamma 90.00
loop_
_atom_site_label
_atom_site_type_symbol
_atom_site_fract_x
_atom_site_fract_y
_atom_site_fract_z
Rb1 Rb 0.000 0.000 0.000
Sr1 Sr 0.000 0.000 0.500
Mo1 Mo 0.500 0.500 0.000
W1 W 0.000 0.500 0.500
```

Output
calculated formation energy = 3684.4 meV/atom

=====

[5]
This record from the Alexandria database describes a relaxed RbTa3Mo crystal. The functional is PBE.

Geometry as CIF:
```
data_RbTa3Mo
_space_group_name_H-M_alt 'P m -3 m'
_space_group_IT_number 221
_space_group_name_Hall '-P 4 2 3'
_cell_length_a 4.730
_cell_length_b 4.730
_cell_length_c 4.730
_cell_angle_alpha 90.00
_cell_angle_beta 90.00
_cell_angle_gamma 90.00
loop_
_atom_site_label
_atom_site_type_symbol
_atom_site_fract_x
_atom_site_fract_y
_atom_site_fract_z
Rb1 Rb 0.000 0.000 0.000
Ta1 Ta 0.000 0.000 0.500
Mo1 Mo 0.500 0.500 0.500
```

Output
polymorph energy (0 for the lowest one) = 1691 meV per atom
calculated formation energy = 3321.6 meV/atom

=====

[6]
This record from the Alexandria database describes a relaxed RbTa3Mo crystal. The functional is PBE.

Geometry as CIF:
```
data_RbTa3Mo
_space_group_name_H-M_alt 'P m -3 m'
_space_group_IT_number 221
_space_group_name_Hall '-P 4 2 3'
_cell_length_a 5.022
_cell_length_b 5.022
_cell_length_c 5.022
_cell_angle_alpha 90.00
_cell_angle_beta 90.00
_cell_angle_gamma 90.00
loop_
_atom_site_label
_atom_site_type_symbol
_atom_site_fract_x
_atom_site_fract_y
_atom_site_fract_z
Rb1 Rb 0.000 0.000 0.000
Ta1 Ta 0.000 0.500 0.500
Mo1 Mo 0.500 0.500 0.500
```

Output
polymorph energy (0 for the lowest one) = 0 meV per atom
calculated formation energy = 1630.2 meV/atom

=====

[7]
This record from the Alexandria database describes a relaxed Rb2TaMo crystal. The functional is PBE.

Geometry as CIF:
```
data_Rb2TaMo
_space_group_name_H-M_alt 'I -4 2 d'
_space_group_IT_number 122
_space_group_name_Hall 'I -4 2bw'
_cell_length_a 13.403
_cell_length_b 13.403
_cell_length_c 4.684
_cell_angle_alpha 90.00
_cell_angle_beta 90.00
_cell_angle_gamma 90.00
loop_
_atom_site_label
_atom_site_type_symbol
_atom_site_fract_x
_atom_site_fract_y
_atom_site_fract_z
Rb1 Rb 0.079 0.250 0.125
Ta1 Ta 0.000 0.000 0.500
Mo1 Mo 0.000 0.000 0.000
```

Output
polymorph energy (0 for the lowest one) = 0 meV per atom
calculated formation energy = 1744.7 meV/atom

=====

[8]
This record from the Alexandria database describes a relaxed Rb2TaMo crystal. The functional is PBE.

Geometry as CIF:
```
data_Rb2TaMo
_space_group_name_H-M_alt 'F m -3 m'
_space_group_IT_number 225
_space_group_name_Hall '-F 4 2 3'
_cell_length_a 8.334
_cell_length_b 8.334
_cell_length_c 8.334
_cell_angle_alpha 90.00
_cell_angle_beta 90.00
_cell_angle_gamma 90.00
loop_
_atom_site_label
_atom_site_type_symbol
_atom_site_fract_x
_atom_site_fract_y
_atom_site_fract_z
Rb1 Rb 0.250 0.250 0.250
Ta1 Ta 0.000 0.000 0.000
Mo1 Mo 0.000 0.000 0.500
```

Output
polymorph energy (0 for the lowest one) = 1015 meV per atom
calculated formation energy = 2759.6 meV/atom

=====

[9]
This record from the Alexandria database describes a relaxed RbTaTe2Mo crystal. The functional is PBE.

Geometry as CIF:
```
data_RbTaTe2Mo
_space_group_name_H-M_alt 'P 4/m m m'
_space_group_IT_number 123
_space_group_name_Hall '-P 4 2'
_cell_length_a 5.775
_cell_length_b 5.775
_cell_length_c 5.048
_cell_angle_alpha 90.00
_cell_angle_beta 90.00
_cell_angle_gamma 90.00
loop_
_atom_site_label
_atom_site_type_symbol
_atom_site_fract_x
_atom_site_fract_y
_atom_site_fract_z
Rb1 Rb 0.000 0.000 0.000
Ta1 Ta 0.000 0.000 0.500
Te1 Te 0.000 0.500 0.000
Mo1 Mo 0.500 0.500 0.500
```

Output
formation energy from raw total energies = 292.2 kJ per mole of atoms

=====

[10]
This record from the Alexandria database describes a relaxed RbTcMo2 crystal. The functional is PBE.

Geometry as CIF:
```
data_RbTcMo2
_space_group_name_H-M_alt 'I 41/a m d'
_space_group_IT_number 141
_cell_length_a 5.172
_cell_length_b 5.172
_cell_length_c 16.839
_cell_angle_alpha 90.00
_cell_angle_beta 90.00
_cell_angle_gamma 90.00
loop_
_space_group_symop_operation_xyz
'x,y,z'
'-x,-y,-z'
'-y+1/4,x+3/4,z+1/4'
'y+1/4,-x+3/4,-z+1/4'
'-x+1/2,-y,z+1/2'
'x+1/2,y,-z+1/2'
'y+1/4,-x+1/4,z+3/4'
'-y+1/4,x+1/4,-z+3/4'
'x,-y,-z'
'-x,y,z'
'-y+1/4,-x+1/4,-z+3/4'
'y+1/4,x+1/4,z+3/4'
'-x+1/2,y,-z+1/2'
'x+1/2,-y,z+1/2'
'y+1/4,x+3/4,-z+1/4'
'-y+1/4,-x+3/4,z+1/4'
'x+1/2,y+1/2,z+1/2'
'-x+1/2,-y+1/2,-z+1/2'
'-y+3/4,x+1/4,z+3/4'
'y+3/4,-x+1/4,-z+3/4'
'-x,-y+1/2,z'
'x,y+1/2,-z'
'y+3/4,-x+3/4,z+1/4'
'-y+3/4,x+3/4,-z+1/4'
'x+1/2,-y+1/2,-z+1/2'
'-x+1/2,y+1/2,z+1/2'
'-y+3/4,-x+3/4,-z+1/4'
'y+3/4,x+3/4,z+1/4'
'-x,y+1/2,-z'
'x,-y+1/2,z'
'y+3/4,x+1/4,-z+3/4'
'-y+3/4,-x+1/4,z+3/4'
loop_
_atom_site_label
_atom_site_type_symbol
_atom_site_fract_x
_atom_site_fract_y
_atom_site_fract_z
Rb1 Rb 0.000 0.250 0.375
Tc1 Tc 0.000 0.250 0.875
Mo1 Mo 0.000 0.000 0.000
```

Output
polymorph energy (0 for the lowest one) = 71 meV per atom
calculated formation energy = 1810.0 meV/atom

=====

[11]
This record from the Alexandria database describes a relaxed RbTc2Mo crystal. The functional is PBE.

Geometry as CIF:
```
data_RbTc2Mo
_space_group_name_H-M_alt 'I 41/a m d'
_space_group_IT_number 141
_cell_length_a 5.113
_cell_length_b 5.113
_cell_length_c 16.780
_cell_angle_alpha 90.00
_cell_angle_beta 90.00
_cell_angle_gamma 90.00
loop_
_space_group_symop_operation_xyz
'x,y,z'
'-x,-y,-z'
'-y+1/4,x+3/4,z+1/4'
'y+1/4,-x+3/4,-z+1/4'
'-x+1/2,-y,z+1/2'
'x+1/2,y,-z+1/2'
'y+1/4,-x+1/4,z+3/4'
'-y+1/4,x+1/4,-z+3/4'
'x,-y,-z'
'-x,y,z'
'-y+1/4,-x+1/4,-z+3/4'
'y+1/4,x+1/4,z+3/4'
'-x+1/2,y,-z+1/2'
'x+1/2,-y,z+1/2'
'y+1/4,x+3/4,-z+1/4'
'-y+1/4,-x+3/4,z+1/4'
'x+1/2,y+1/2,z+1/2'
'-x+1/2,-y+1/2,-z+1/2'
'-y+3/4,x+1/4,z+3/4'
'y+3/4,-x+1/4,-z+3/4'
'-x,-y+1/2,z'
'x,y+1/2,-z'
'y+3/4,-x+3/4,z+1/4'
'-y+3/4,x+3/4,-z+1/4'
'x+1/2,-y+1/2,-z+1/2'
'-x+1/2,y+1/2,z+1/2'
'-y+3/4,-x+3/4,-z+1/4'
'y+3/4,x+3/4,z+1/4'
'-x,y+1/2,-z'
'x,-y+1/2,z'
'y+3/4,x+1/4,-z+3/4'
'-y+3/4,-x+1/4,z+3/4'
loop_
_atom_site_label
_atom_site_type_symbol
_atom_site_fract_x
_atom_site_fract_y
_atom_site_fract_z
Rb1 Rb 0.000 0.250 0.375
Tc1 Tc 0.000 0.000 0.000
Mo1 Mo 0.000 0.250 0.875
```

Output
polymorph energy (0 for the lowest one) = 31 meV per atom
calculated formation energy = 1720.2 meV/atom

=====

[12]
This record from the Alexandria database describes a relaxed Rb3TcMo crystal. The functional is PBE.

Geometry as CIF:
```
data_Rb3TcMo
_space_group_name_H-M_alt 'P m -3 m'
_space_group_IT_number 221
_space_group_name_Hall '-P 4 2 3'
_cell_length_a 7.025
_cell_length_b 7.025
_cell_length_c 7.025
_cell_angle_alpha 90.00
_cell_angle_beta 90.00
_cell_angle_gamma 90.00
loop_
_atom_site_label
_atom_site_type_symbol
_atom_site_fract_x
_atom_site_fract_y
_atom_site_fract_z
Rb1 Rb 0.000 0.000 0.500
Tc1 Tc 0.500 0.500 0.500
Mo1 Mo 0.000 0.000 0.000
```

Output
polymorph energy (0 for the lowest one) = 0 meV per atom
calculated formation energy = 2161.1 meV/atom

=====

[13]
This record from the Alexandria database describes a relaxed RbTcMo2 crystal. The functional is PBE.

Geometry as CIF:
```
data_RbTcMo2
_space_group_name_H-M_alt 'F m -3 m'
_space_group_IT_number 225
_space_group_name_Hall '-F 4 2 3'
_cell_length_a 6.585
_cell_length_b 6.585
_cell_length_c 6.585
_cell_angle_alpha 90.00
_cell_angle_beta 90.00
_cell_angle_gamma 90.00
loop_
_atom_site_label
_atom_site_type_symbol
_atom_site_fract_x
_atom_site_fract_y
_atom_site_fract_z
Rb1 Rb 0.000 0.000 0.000
Tc1 Tc 0.000 0.000 0.500
Mo1 Mo 0.250 0.250 0.250
```

Output
polymorph energy (0 for the lowest one) = 0 meV per atom
calculated formation energy = 1739.0 meV/atom

=====

[14]
This record from the Alexandria database describes a relaxed RbTc2Mo crystal. The functional is PBE.

Geometry as CIF:
```
data_RbTc2Mo
_space_group_name_H-M_alt 'F m -3 m'
_space_group_IT_number 225
_space_group_name_Hall '-F 4 2 3'
_cell_length_a 6.566
_cell_length_b 6.566
_cell_length_c 6.566
_cell_angle_alpha 90.00
_cell_angle_beta 90.00
_cell_angle_gamma 90.00
loop_
_atom_site_label
_atom_site_type_symbol
_atom_site_fract_x
_atom_site_fract_y
_atom_site_fract_z
Rb1 Rb 0.000 0.000 0.000
Tc1 Tc 0.250 0.250 0.250
Mo1 Mo 0.000 0.000 0.500
```

Output
polymorph energy (0 for the lowest one) = 0 meV per atom
calculated formation energy = 1689.1 meV/atom

=====

no.,total DFT energy (no corrections) (eV per atom)
1,-2.365
2,-2.310
3,-3.068
4,-4.193
5,-6.150
6,-7.841
7,-4.410
8,-3.395
9,-2.959
10,-6.439
11,-6.412
12,-2.659
13,-6.510
14,-6.444